The following is a DFT calculation (PBE) of KRePbF2 after structural relaxation.

The structure in CIF format:
```
data_KRePbF2
_cell_length_a 4.7660
_cell_length_b 4.7660
_cell_length_c 7.7319
_cell_angle_alpha 90.00
_cell_angle_beta 90.00
_cell_angle_gamma 90.00
_space_group_name_H-M_alt 'P 1'
_space_group_IT_number 1
loop_
_space_group_symop_operation_xyz
'x,y,z'
loop_
_atom_site_label
_atom_site_fract_x
_atom_site_fract_y
_atom_site_fract_z
Pb1 0.0000 0.0000 0.0000
K1 0.0000 0.0000 0.5000
Re1 0.5000 0.5000 0.5000
F1 0.0000 0.5000 0.0000
F2 0.5000 0.0000 0.0000
```

Output
Fermi-level density of states, states/eV/cell: 1.99
Crystal system: tetragonal
SG: No. 123

The following is a DFT calculation (PBE) of KRhPbF6 after structural relaxation.

The structure in CIF format:
```
data_KRhPbF6
_cell_length_a 8.0604
_cell_length_b 7.5401
_cell_length_c 7.6017
_cell_angle_alpha 119.73
_cell_angle_beta 122.02
_cell_angle_gamma 90.00
_space_group_name_H-M_alt 'P 1'
_space_group_IT_number 1
loop_
_space_group_symop_operation_xyz
'x,y,z'
loop_
_atom_site_label
_atom_site_fract_x
_atom_site_fract_y
_atom_site_fract_z
F1 0.8077 0.5921 0.2671
F2 0.4594 0.5921 0.2671
F3 0.5406 0.4079 0.7329
K1 0.8448 0.5948 0.6896
Rh1 0.5000 0.5000 0.0000
Pb1 0.0000 0.0000 0.5000
F4 0.8077 0.1750 0.2671
Pb2 0.5000 0.0000 0.5000
K2 0.1552 0.4052 0.3104
F5 0.1923 0.4079 0.7329
F6 0.5690 0.8190 0.1380
Rh2 0.5000 0.0000 0.0000
F7 0.8809 0.1309 0.7618
F8 0.1923 0.8250 0.7329
F9 0.4310 0.1810 0.8620
F10 0.1191 0.8691 0.2382
F11 0.4594 0.1750 0.2671
F12 0.5406 0.8250 0.7329
```

Output
Crystal system: orthorhombic
SG: No. 74

The following is a DFT calculation (PBE) of K2Rh3PbF12 after structural relaxation.

The structure in CIF format:
```
data_K2Rh3PbF12
_cell_length_a 7.3398
_cell_length_b 7.3398
_cell_length_c 7.3398
_cell_angle_alpha 62.77
_cell_angle_beta 62.77
_cell_angle_gamma 62.77
_space_group_name_H-M_alt 'P 1'
_space_group_IT_number 1
loop_
_space_group_symop_operation_xyz
'x,y,z'
loop_
_atom_site_label
_atom_site_fract_x
_atom_site_fract_y
_atom_site_fract_z
Rh1 0.0000 0.0000 0.5000
F1 0.2792 0.8763 0.2792
Pb1 0.0000 0.0000 0.0000
F2 0.7208 0.7208 0.1237
F3 0.8704 0.4167 0.8704
F4 0.1296 0.5833 0.1296
K1 0.3792 0.3792 0.3792
F5 0.7208 0.1237 0.7208
Rh2 0.5000 0.0000 0.0000
F6 0.2792 0.2792 0.8763
F7 0.1296 0.1296 0.5833
F8 0.8704 0.8704 0.4167
F9 0.4167 0.8704 0.8704
F10 0.1237 0.7208 0.7208
F11 0.5833 0.1296 0.1296
F12 0.8763 0.2792 0.2792
Rh3 0.0000 0.5000 0.0000
K2 0.6208 0.6208 0.6208
```

Output
Fermi-level density of states, states/eV/cell: 5.03
Crystal system: trigonal
SG: No. 166

The following is a DFT calculation (PBE) of K2RhPbF8 after structural relaxation.

The structure in CIF format:
```
data_K2RhPbF8
_cell_length_a 4.3673
_cell_length_b 6.1038
_cell_length_c 7.7928
_cell_angle_alpha 90.00
_cell_angle_beta 90.00
_cell_angle_gamma 97.12
_space_group_name_H-M_alt 'P 1'
_space_group_IT_number 1
loop_
_space_group_symop_operation_xyz
'x,y,z'
loop_
_atom_site_label
_atom_site_fract_x
_atom_site_fract_y
_atom_site_fract_z
Pb1 0.0000 0.0000 0.5000
F1 0.0888 0.8050 0.1929
F2 0.9112 0.1950 0.1929
Rh1 0.0000 0.0000 0.0000
K1 0.5000 0.5000 0.7587
F3 0.4969 0.7684 0.5000
F4 0.6131 0.8100 0.0000
F5 0.5031 0.2316 0.5000
K2 0.5000 0.5000 0.2413
F6 0.3869 0.1900 0.0000
F7 0.9112 0.1950 0.8071
F8 0.0888 0.8050 0.8071
```

Output
Fermi-level density of states, states/eV/cell: 8.59
Crystal system: monoclinic
SG: No. 10

The following is a DFT calculation (PBE) of KPbSF after structural relaxation.

The structure in CIF format:
```
data_KPbSF
_cell_length_a 4.9359
_cell_length_b 4.9359
_cell_length_c 10.8993
_cell_angle_alpha 76.91
_cell_angle_beta 76.91
_cell_angle_gamma 60.00
_space_group_name_H-M_alt 'P 1'
_space_group_IT_number 1
loop_
_space_group_symop_operation_xyz
'x,y,z'
loop_
_atom_site_label
_atom_site_fract_x
_atom_site_fract_y
_atom_site_fract_z
S1 0.1160 0.1160 0.6520
F1 0.2930 0.2930 0.1210
K1 0.6251 0.6251 0.1246
Pb1 0.7883 0.7883 0.6350
F2 0.7070 0.7070 0.8790
Pb2 0.2117 0.2117 0.3650
S2 0.8840 0.8840 0.3480
K2 0.3749 0.3749 0.8754
```

Output
Fermi-level density of states, states/eV/cell: 0.00
Crystal system: trigonal
SG: No. 166

The following is a DFT calculation (PBE) of KSb2PbF after structural relaxation.

The structure in CIF format:
```
data_KSb2PbF
_cell_length_a 5.2015
_cell_length_b 4.9943
_cell_length_c 5.2015
_cell_angle_alpha 90.00
_cell_angle_beta 90.00
_cell_angle_gamma 90.00
_space_group_name_H-M_alt 'P 1'
_space_group_IT_number 1
loop_
_space_group_symop_operation_xyz
'x,y,z'
loop_
_atom_site_label
_atom_site_fract_x
_atom_site_fract_y
_atom_site_fract_z
Pb1 0.5000 0.5000 0.5000
F1 0.0000 0.0000 0.0000
Sb1 0.0000 0.0000 0.5000
K1 0.0000 0.5000 0.0000
Sb2 0.5000 0.0000 0.0000
```

Output
Fermi-level density of states, states/eV/cell: 1.08
Crystal system: tetragonal
SG: No. 123

The following is a DFT calculation (PBE) of K2Sc3PbF12 after structural relaxation.

The structure in CIF format:
```
data_K2Sc3PbF12
_cell_length_a 7.4454
_cell_length_b 7.4454
_cell_length_c 7.4454
_cell_angle_alpha 63.75
_cell_angle_beta 63.75
_cell_angle_gamma 63.75
_space_group_name_H-M_alt 'P 1'
_space_group_IT_number 1
loop_
_space_group_symop_operation_xyz
'x,y,z'
loop_
_atom_site_label
_atom_site_fract_x
_atom_site_fract_y
_atom_site_fract_z
Sc1 0.0000 0.0000 0.5000
F1 0.0999 0.7052 0.7052
F2 0.8713 0.4185 0.8713
F3 0.4185 0.8713 0.8713
Sc2 0.0000 0.5000 0.0000
K1 0.3735 0.3735 0.3735
F4 0.7052 0.7052 0.0999
K2 0.6265 0.6265 0.6265
F5 0.2948 0.2948 0.9001
Sc3 0.5000 0.0000 0.0000
F6 0.9001 0.2948 0.2948
Pb1 0.0000 0.0000 0.0000
F7 0.1287 0.5815 0.1287
F8 0.8713 0.8713 0.4185
F9 0.1287 0.1287 0.5815
F10 0.5815 0.1287 0.1287
F11 0.7052 0.0999 0.7052
F12 0.2948 0.9001 0.2948
```

Output
Fermi-level density of states, states/eV/cell: 0.24
Crystal system: trigonal
SG: No. 166

The following is a DFT calculation (PBE) of K2PbSeF after structural relaxation.

The structure in CIF format:
```
data_K2PbSeF
_cell_length_a 6.8930
_cell_length_b 5.3433
_cell_length_c 6.8930
_cell_angle_alpha 90.00
_cell_angle_beta 90.00
_cell_angle_gamma 90.00
_space_group_name_H-M_alt 'P 1'
_space_group_IT_number 1
loop_
_space_group_symop_operation_xyz
'x,y,z'
loop_
_atom_site_label
_atom_site_fract_x
_atom_site_fract_y
_atom_site_fract_z
K1 0.5000 0.0000 0.0000
Pb1 0.0000 0.0000 0.0000
Se1 0.0000 0.5000 0.0000
F1 0.5000 0.5000 0.5000
K2 0.0000 0.0000 0.5000
```

Output
Fermi-level density of states, states/eV/cell: 2.24
Crystal system: tetragonal
SG: No. 123

The following is a DFT calculation (PBE) of KPbSeF2 after structural relaxation.

The structure in CIF format:
```
data_KPbSeF2
_cell_length_a 4.7647
_cell_length_b 5.9649
_cell_length_c 4.7647
_cell_angle_alpha 90.00
_cell_angle_beta 90.00
_cell_angle_gamma 90.00
_space_group_name_H-M_alt 'P 1'
_space_group_IT_number 1
loop_
_space_group_symop_operation_xyz
'x,y,z'
loop_
_atom_site_label
_atom_site_fract_x
_atom_site_fract_y
_atom_site_fract_z
K1 0.0000 0.5000 0.0000
F1 0.5000 0.0000 0.0000
F2 0.0000 0.0000 0.5000
Se1 0.0000 0.0000 0.0000
Pb1 0.5000 0.5000 0.5000
```

Output
Fermi-level density of states, states/eV/cell: 2.87
Crystal system: tetragonal
SG: No. 123

The following is a DFT calculation (PBE) of KPbSeF after structural relaxation.

The structure in CIF format:
```
data_KPbSeF
_cell_length_a 5.1129
_cell_length_b 5.1129
_cell_length_c 10.9379
_cell_angle_alpha 76.48
_cell_angle_beta 76.48
_cell_angle_gamma 60.00
_space_group_name_H-M_alt 'P 1'
_space_group_IT_number 1
loop_
_space_group_symop_operation_xyz
'x,y,z'
loop_
_atom_site_label
_atom_site_fract_x
_atom_site_fract_y
_atom_site_fract_z
Se1 0.1131 0.1131 0.6607
K1 0.6258 0.6258 0.1226
Pb1 0.7866 0.7866 0.6403
F1 0.2931 0.2931 0.1206
Pb2 0.2134 0.2134 0.3597
K2 0.3742 0.3742 0.8774
F2 0.7069 0.7069 0.8794
Se2 0.8869 0.8869 0.3393
```

Output
Fermi-level density of states, states/eV/cell: 0.00
Crystal system: trigonal
SG: No. 166

no.,total energy (eV per atom)
1,-4.093
2,-4.722
3,-4.720
4,-4.529
5,-4.232
6,-3.540
7,-6.017
8,-2.868
9,-2.867
10,-4.077